Record 1
A relaxed NaHoTlAu crystal. Source: the Alexandria database, functional GGA-PBE.

Cell and atoms, written as POSCAR:
```
NaHoTlAu
1.0
7.238 0.000 0.000
0.000 7.238 0.000
0.000 0.000 7.238
Na Ho Tl Au
4 4 4 4
Direct
0.000 0.000 0.000
0.000 0.500 0.500
0.500 0.000 0.500
0.500 0.500 0.000
0.000 0.000 0.500
0.000 0.500 0.000
0.500 0.000 0.000
0.500 0.500 0.500
0.250 0.250 0.750
0.250 0.750 0.250
0.750 0.250 0.250
0.750 0.750 0.750
0.250 0.250 0.250
0.250 0.750 0.750
0.750 0.250 0.750
0.750 0.750 0.250
```

N(E_F) (states/eV per cell): 7.564
Calculated total energy (eV/atom): -3.2430
E_form (eV per formula unit): -1.43
Theoretical density (g/cm3): 10.32


Record 2
A relaxed NaHoZnAu crystal. Source: the Alexandria database, functional GGA-PBE.

Cell and atoms, written as POSCAR:
```
NaHoZnAu
1.0
7.014 0.000 0.000
0.000 7.014 0.000
0.000 0.000 7.014
Na Ho Zn Au
4 4 4 4
Direct
0.000 0.000 0.000
0.000 0.500 0.500
0.500 0.000 0.500
0.500 0.500 0.000
0.000 0.000 0.500
0.000 0.500 0.000
0.500 0.000 0.000
0.500 0.500 0.500
0.250 0.250 0.250
0.250 0.750 0.750
0.750 0.250 0.750
0.750 0.750 0.250
0.250 0.250 0.750
0.250 0.750 0.250
0.750 0.250 0.250
0.750 0.750 0.750
```

N(E_F) (states/eV per cell): 9.404
Calculated total energy (eV/atom): -2.9363
E_form (eV per formula unit): -1.30
Theoretical density (g/cm3): 8.67


Record 3
A relaxed NdHo2Au crystal. Source: the Alexandria database, functional GGA-PBE.

Cell and atoms, written as POSCAR:
```
NdHo2Au
1.0
4.944 0.000 0.000
0.000 12.069 0.000
0.000 0.000 7.775
Nd Ho Au
4 8 4
Direct
0.000 0.048 0.250
0.000 0.952 0.750
0.500 0.452 0.750
0.500 0.548 0.250
0.000 0.354 0.035
0.000 0.354 0.465
0.000 0.646 0.535
0.000 0.646 0.965
0.500 0.146 0.535
0.500 0.146 0.965
0.500 0.854 0.035
0.500 0.854 0.465
0.000 0.205 0.750
0.000 0.795 0.250
0.500 0.295 0.250
0.500 0.705 0.750
```

N(E_F) (states/eV per cell): 22.294
Offset from the most stable computed form (eV/atom): 0.000
Calculated total energy (eV/atom): -4.7130
E_form (eV per formula unit): -1.65
Theoretical density (g/cm3): 9.61


Record 4
A relaxed Nd3HoAu4 crystal. Source: the Alexandria database, functional GGA-PBE.

Cell and atoms, written as POSCAR:
```
Nd3HoAu4
1.0
3.669 0.000 0.000
0.000 3.669 0.000
0.000 0.000 14.833
Nd Ho Au
3 1 4
Direct
0.000 0.000 0.000
0.000 0.000 0.254
0.000 0.000 0.746
0.000 0.000 0.500
0.500 0.500 0.126
0.500 0.500 0.387
0.500 0.500 0.613
0.500 0.500 0.874
```

N(E_F) (states/eV per cell): 4.841
Calculated total energy (eV/atom): -4.7897
E_form (eV per formula unit): -6.33
Theoretical density (g/cm3): 11.52